The following is a PBE-GGA calculation of a relaxed structure of Sm2AlNi2, from the Alexandria database.

It has space group Immm (No. 71), with a = 4.227 Å, b = 5.456 Å, c = 8.558 Å, α = 90.00°, β = 90.00° and γ = 90.00°. The distinct sites, in fractional coordinates, are Sm at (0.000, 0.000, 0.202), Al at (0.000, 0.500, 0.000) and Ni at (0.000, 0.263, 0.500).

For the uncorrected energy, the calculation gives -0.199 hartree per atom. The calculation puts the energy of formation at -0.477 eV per atom. As for the density of states at the Fermi level: 10.19 states/eV/cell.

The following is a PBE-GGA calculation of a relaxed structure of LiLu2Tc, from the Alexandria database.

It has space group P4/mmm (No. 123), with a = 3.407 Å, b = 3.407 Å, c = 7.750 Å, α = 90.00°, β = 90.00° and γ = 90.00°. The distinct sites, in fractional coordinates, are Li at (0.000, 0.000, 0.000), Lu at (0.500, 0.500, 0.296) and Tc at (0.000, 0.000, 0.500).

For the uncorrected energy, the calculation gives -0.199 hartree per atom. The value obtained for the energy above the most stable polymorph in this dataset is 0.0 meV/atom. The calculation puts the energy of formation at -0.093 eV per atom. As for the density of states at the Fermi level: 3.89 states/eV/cell.

The following is a PBE-GGA calculation of a relaxed structure of Pr3Ge, from the Alexandria database.

It has space group I4/mmm (No. 139), with a = 4.778 Å, b = 4.778 Å, c = 10.144 Å, α = 90.00°, β = 90.00° and γ = 90.00°. The distinct sites, in fractional coordinates, are Pr at (0.000, 0.000, 0.000), Pr at (0.000, 0.500, 0.250) and Ge at (0.000, 0.000, 0.500).

For the uncorrected energy, the calculation gives -0.185 hartree per atom. The value obtained for the energy above the most stable polymorph in this dataset is 155.0 meV/atom. The calculation puts the energy of formation at -0.292 eV per atom. As for the density of states at the Fermi level: 8.50 states/eV/cell.

Which value of density of states at the Fermi level does entry 1 give?
10.19 states/eV/cell